Cs3PuTl2Cl9 | GGA-PBE | optimized geometry

E_form (uncorrected): -1655 meV/atom
Space group: P-3m1

a = 8.295 Å, b = 8.295 Å, c = 10.096 Å
α = 90.00°, β = 90.00°, γ = 120.00°
Element x y z (fractional)
Cs  0.000  0.000  0.000
Cs  0.333  0.667  0.734
Cs  0.667  0.333  0.266
Pu  0.000  0.000  0.500
Tl  0.333  0.667  0.172
Tl  0.667  0.333  0.828
Cl  0.000  0.500  0.000
Cl  0.147  0.293  0.348
Cl  0.147  0.853  0.348
Cl  0.293  0.147  0.652
Cl  0.500  0.000  0.000
Cl  0.500  0.500  0.000
Cl  0.707  0.853  0.348
Cl  0.853  0.147  0.652
Cl  0.853  0.707  0.652